(1)
# PaCuGePt, optimized geometry, DFT PBE-GGA
data_PaCuGePt
_chemical_formula_sum 'Pa4 Cu4 Ge4 Pt4'
_cell_length_a 6.653
_cell_length_b 6.653
_cell_length_c 6.653
_cell_angle_alpha 90.00
_cell_angle_beta 90.00
_cell_angle_gamma 90.00
_symmetry_space_group_name_H-M 'F -4 3 m'
_symmetry_Int_Tables_number 216
_symmetry_space_group_name_Hall 'F -4 2 3'
loop_
_atom_site_label
_atom_site_type_symbol
_atom_site_fract_x
_atom_site_fract_y
_atom_site_fract_z
Pa1 Pa 0.000 0.000 0.000
Cu1 Cu 0.250 0.250 0.250
Ge1 Ge 0.000 0.000 0.500
Pt1 Pt 0.250 0.250 0.750
# Calculated formation energy: -0.452 eV/atom

(2)
# PuPaCuGe, optimized geometry, DFT PBE-GGA
data_PuPaCuGe
_chemical_formula_sum 'Pu1 Pa1 Cu1 Ge1'
_cell_length_a 4.6737
_cell_length_b 4.6737
_cell_length_c 4.8726
_cell_angle_alpha 90.00
_cell_angle_beta 90.00
_cell_angle_gamma 120.00
_symmetry_space_group_name_H-M 'P 3 m 1'
_symmetry_Int_Tables_number 156
loop_
_symmetry_equiv_pos_as_xyz
'x,y,z'
'-y,x-y,z'
'-x+y,-x,z'
'-y,-x,z'
'-x+y,y,z'
'x,x-y,z'
loop_
_atom_site_label
_atom_site_type_symbol
_atom_site_fract_x
_atom_site_fract_y
_atom_site_fract_z
Pu1 Pu 0.0000 0.0000 0.0000
Pa1 Pa 0.3333 0.6667 0.5185
Cu1 Cu 0.6667 0.3333 0.7587
Ge1 Ge 0.6667 0.3333 0.2572
# Calculated formation energy: 0.064 eV/atom
# Distance to the lowest polymorph of the same formula: 162 meV/atom

(3)
# Pu2PaCu2Ge2, optimized geometry, DFT PBE-GGA
data_Pu2PaCu2Ge2
_chemical_formula_sum 'Pu6 Pa3 Cu6 Ge6'
_cell_length_a 4.0040
_cell_length_b 4.0040
_cell_length_c 27.0249
_cell_angle_alpha 90.00
_cell_angle_beta 90.00
_cell_angle_gamma 120.00
_symmetry_space_group_name_H-M 'R -3 m'
_symmetry_Int_Tables_number 166
_symmetry_space_group_name_Hall '-R 3 2"'
loop_
_atom_site_label
_atom_site_type_symbol
_atom_site_fract_x
_atom_site_fract_y
_atom_site_fract_z
Pu1 Pu 0.0000 0.0000 0.1501
Pa1 Pa 0.0000 0.0000 0.0000
Cu1 Cu 0.0000 0.0000 0.4048
Ge1 Ge 0.0000 0.0000 0.2586
# Calculated formation energy: -0.166 eV/atom

(4)
# PuPa2Cu2Ge2, optimized geometry, DFT PBE-GGA
data_PuPa2Cu2Ge2
_chemical_formula_sum 'Pu3 Pa6 Cu6 Ge6'
_cell_length_a 4.2087
_cell_length_b 4.2087
_cell_length_c 27.0045
_cell_angle_alpha 90.00
_cell_angle_beta 90.00
_cell_angle_gamma 120.00
_symmetry_space_group_name_H-M 'R -3 m'
_symmetry_Int_Tables_number 166
_symmetry_space_group_name_Hall '-R 3 2"'
loop_
_atom_site_label
_atom_site_type_symbol
_atom_site_fract_x
_atom_site_fract_y
_atom_site_fract_z
Pu1 Pu 0.0000 0.0000 0.0000
Pa1 Pa 0.0000 0.0000 0.1404
Cu1 Cu 0.0000 0.0000 0.4063
Ge1 Ge 0.0000 0.0000 0.2640
# Calculated formation energy: -0.179 eV/atom

Look up the calculated formation energy of the second one. 0.064 eV/atom